Here is crystalline LiV2Pd at its relaxed geometry from the Alexandria database. Energies are from GGA-PBE.

Cell: 4.3512 4.3512 4.3512 Å, 60.00 60.00 60.00°
Each line ends with the local moment (μB).
Sites, in units of the cell vectors:
V 0.2500 0.2500 0.2500  1.67
V 0.7500 0.7500 0.7500  1.67
Li 0.0000 0.0000 0.0000  0.05
Pd 0.5000 0.5000 0.5000  0.23

## Properties
* formation enthalpy at 0 K: 1.2 eV/f.u.
* DOS at the Fermi energy: 1.2042 states/eV per atom
* calculated volume: 58 Å³ per cell
* space-group type: Fm-3m, No. 225



Here is crystalline Ho3Co2Sn4 at its relaxed geometry from the Alexandria database. Energies are from GGA-PBE.

Cell: 4.4278 6.0164 9.0687 Å, 64.61 75.87 68.41°
Sites, in units of the cell vectors:
Sn 0.2979 0.3181 0.0861
Sn 0.0892 0.2101 0.6115
Sn 0.7021 0.6819 0.9139
Sn 0.9108 0.7899 0.3885
Ho 0.3695 0.5757 0.6853
Ho 0.0000 0.0000 0.0000
Ho 0.6305 0.4243 0.3147
Co 0.2994 0.0115 0.3898
Co 0.7006 0.9885 0.6102

## Properties
* formation enthalpy at 0 K: -4.6 eV/f.u.
* DOS at the Fermi energy: 0.8118 states/eV per atom
* calculated volume: 202 Å³ per cell
* space-group type: C2/m, No. 12



Here is crystalline Pa2AlFe4Si3 at its relaxed geometry from the Alexandria database. Energies are from GGA-PBE.

Cell: 3.9262 3.9262 9.7011 Å, 90.00 90.00 90.00°
Sites, in units of the cell vectors:
Al 0.5000 0.5000 0.5000
Fe 0.0000 0.5000 0.3546
Fe 0.5000 0.5000 0.0000
Fe 0.0000 0.0000 0.0000
Fe 0.5000 0.0000 0.6454
Pa 0.0000 0.5000 0.7561
Pa 0.5000 0.0000 0.2439
Si 0.5000 0.0000 0.8808
Si 0.0000 0.5000 0.1192
Si 0.0000 0.0000 0.5000

## Properties
* DOS at the Fermi energy: 1.3517 states/eV per atom
* energy relative to the elements, uncorrected: -0.5395 eV/atom
* calculated volume: 150 Å³ per cell
* space-group type: P-4m2, No. 115



Here is crystalline BaTc2Ir at its relaxed geometry from the Alexandria database. Energies are from GGA-PBE.

Cell: 5.6324 5.6324 2.8857 Å, 80.05 80.05 118.59°
Each line ends with the local moment (μB).
Sites, in units of the cell vectors:
Ir 0.0000 0.5000 0.5000  0.17
Tc 0.5000 0.5000 0.0000  0.40
Tc 0.0000 0.0000 0.0000  0.40
Ba 0.5000 0.0000 0.5000  0.02

## Properties
* formation enthalpy at 0 K: 4.8 eV/f.u.
* DOS at the Fermi energy: 1.6812 states/eV per atom
* calculated volume: 76 Å³ per cell
* space-group type: C2/m, No. 12



Here is crystalline Sm5Tl2Ga at its relaxed geometry from the Alexandria database. Energies are from GGA-PBE.

Cell: 5.1688 6.8885 13.1351 Å, 90.00 90.00 90.00°
Sites, in units of the cell vectors:
Sm 0.5000 0.8345 0.9074
Sm 0.0000 0.0000 0.5000
Sm 0.0000 0.5000 0.0000
Sm 0.0000 0.3670 0.2810
Sm 0.0000 0.6330 0.7190
Sm 0.0000 0.8670 0.2190
Sm 0.0000 0.1330 0.7810
Sm 0.5000 0.3345 0.5926
Sm 0.5000 0.6655 0.4074
Sm 0.5000 0.1655 0.0926
Ga 0.0000 0.0000 0.0000
Ga 0.0000 0.5000 0.5000
Tl 0.5000 0.8820 0.6545
Tl 0.5000 0.6180 0.1545
Tl 0.5000 0.3820 0.8455
Tl 0.5000 0.1180 0.3455

## Properties
* formation enthalpy at 0 K: -2.9 eV/f.u.
* DOS at the Fermi energy: 0.8789 states/eV per atom
* calculated volume: 468 Å³ per cell
* space-group type: Pbam, No. 55



Here is crystalline Ca2OsRu at its relaxed geometry from the Alexandria database. Energies are from GGA-PBE.

Cell: 4.1410 4.6648 5.6696 Å, 65.79 90.00 90.00°
Sites, in units of the cell vectors:
Os 0.0000 0.6783 0.5180
Ca 0.5000 0.2637 0.3472
Ca 0.0000 0.9855 0.9042
Ru 0.5000 0.5725 0.7306

## Properties
* formation enthalpy at 0 K: 0.9 eV/f.u.
* DOS at the Fermi energy: 0.9549 states/eV per atom
* calculated volume: 100 Å³ per cell
* space-group type: Pm, No. 6